Density functional theory data (SCAN) for HfBe3Zn at its PBEsol-relaxed geometry.

Geometry as POSCAR:
```
HfBe3Zn
1.0
-2.128 1.359 3.109
-3.284 -1.750 -1.483
0.856 -3.337 2.044
Hf Be Zn
1 3 1
Direct
0.500 0.500 0.500
0.000 0.500 0.000
0.000 0.000 0.500
0.500 0.000 0.000
0.000 0.000 0.000
```

Results
Energy of formation = 0.397 eV per atom
D(E_F) = 0.28 states/eV/atom
Mass density = 7.0 g/cm3

Density functional theory data (SCAN) for N at its PBEsol-relaxed geometry.

Geometry as POSCAR:
```
N
1.0
-1.213 1.651 -0.336
-0.068 -0.511 2.011
1.954 0.457 -0.532
N
1
Direct
0.000 0.000 0.000
```

Results
Energy above the lowest structure with this stoichiometry = 4.43 eV/f.u.
D(E_F) = 0.42 states/eV/atom
Mass density = 3.4 g/cm3

Density functional theory data (SCAN) for Ni2AsW at its PBEsol-relaxed geometry.

Geometry as POSCAR:
```
Ni2AsW
1.0
3.224 0.000 0.000
0.000 3.974 0.000
0.000 0.000 3.958
W Ni As
1 2 1
Direct
0.500 0.000 0.500
0.000 0.000 0.000
0.500 0.500 0.000
0.000 0.500 0.500
```

Results
Energy of formation = 0.146 eV per atom
D(E_F) = 0.54 states/eV/atom
Mass density = 12.3 g/cm3

Density functional theory data (SCAN) for SiGeBN2 at its PBEsol-relaxed geometry.

Geometry as POSCAR:
```
SiGeBN2
1.0
-1.455 -1.357 2.951
-2.401 -1.729 -1.979
3.329 -4.260 -0.318
Si N B Ge
1 2 1 1
Direct
0.000 0.000 0.500
0.500 0.000 0.000
0.000 0.500 0.000
0.500 0.500 0.500
0.000 0.000 0.000
```

Results
Final energy = -9.0289 eV per atom
D(E_F) = 0.44 states/eV/atom
Mass density = 3.4 g/cm3

Density functional theory data (SCAN) for NiMoN2 at its PBEsol-relaxed geometry.

Geometry as POSCAR:
```
NiMoN2
1.0
-2.525 -2.196 1.452
0.985 -2.603 2.358
-0.875 0.309 3.528
N Mo Ni
2 1 1
Direct
0.250 0.250 0.250
0.750 0.750 0.750
0.500 0.500 0.500
0.000 0.000 0.000
```

Results
Final energy = -16.8542 eV per atom
D(E_F) = 0.59 states/eV/atom
Mass density = 8.8 g/cm3

Density functional theory data (SCAN) for MgGa2Pd2 at its PBEsol-relaxed geometry.

Geometry as POSCAR:
```
MgGa2Pd2
1.0
3.090 0.000 0.000
0.000 7.121 0.000
0.000 0.000 7.121
Ga Pd Mg
4 4 2
Direct
0.500 0.651 0.849
0.500 0.151 0.651
0.500 0.849 0.349
0.500 0.349 0.151
0.000 0.854 0.646
0.000 0.646 0.146
0.000 0.354 0.854
0.000 0.146 0.354
0.000 0.500 0.500
0.000 0.000 0.000
```

Results
Energy of formation = -0.609 eV per atom
D(E_F) = 0.19 states/eV/atom
Mass density = 8.0 g/cm3

Density functional theory data (SCAN) for SrPb at its PBEsol-relaxed geometry.

Geometry as POSCAR:
```
SrPb
1.0
5.320 0.000 0.000
-2.660 4.608 0.000
0.000 0.000 6.361
Sr Pb
2 2
Direct
0.667 0.333 0.750
0.333 0.667 0.250
0.000 0.000 0.500
0.000 0.000 0.000
```

Results
Energy of formation = -0.574 eV per atom
D(E_F) = 1.23 states/eV/atom
Mass density = 6.3 g/cm3

Density functional theory data (SCAN) for KCaAs2 at its PBEsol-relaxed geometry.

Geometry as POSCAR:
```
KCaAs2
1.0
3.941 0.000 0.026
0.000 3.941 0.000
-0.048 0.000 6.904
As Ca K
2 1 1
Direct
0.000 0.000 0.324
0.000 0.000 0.676
0.500 0.500 0.500
0.500 0.500 0.000
```

Results
Energy above the lowest structure with this stoichiometry = 0.00 eV/f.u.
Energy of formation = -0.842 eV per atom
D(E_F) = 0.28 states/eV/atom
Mass density = 3.5 g/cm3

- Which of these has the lowest D(E_F)?
  MgGa2Pd2